# 1
ScSb GGA-PBE optimized geometry; space-group type = Fd-3m; E = -5.420 eV per atom; E_form (uncorrected) = -4.4 kcal/mol of atoms; magnetization = 0.00 μB per cell
1.0
0.000 3.642 3.642
3.642 0.000 3.642
3.642 3.642 0.000
Sc Sb
2 2
Direct
0.125 0.125 0.125
0.875 0.875 0.875
0.375 0.375 0.375
0.625 0.625 0.625

# 2
Sc5Sb GGA-PBE optimized geometry; space-group type = P4/mmm; E = -6.113 eV per atom; E above lowest polymorph = 0.174 eV per atom; E_form (uncorrected) = -3.4 kcal/mol of atoms; magnetization = 0.00 μB per cell
1.0
3.235 0.000 0.000
0.000 3.235 0.000
0.000 0.000 13.908
Sc Sb
5 1
Direct
0.000 0.000 0.000
0.000 0.000 0.339
0.000 0.000 0.661
0.500 0.500 0.170
0.500 0.500 0.830
0.500 0.500 0.500